Record 1
The following is a DFT calculation (PBE-GGA) of Hf2BeSb after structural relaxation.

For the distance to the lowest polymorph of the same formula, the calculation gives 1.20 eV/f.u. Its uncorrected formation energy is -87 meV/atom. Its raw total energy is -7.03 eV per atom. The calculated volume comes out at 242 Å³/cell. Its spin magnetization is 0.0 μB/f.u.

Unit cell a=3.6682 b=3.6682 c=20.7622 alpha=90.00 beta=90.00 gamma=120.00
Space group R-3m (No. 166, hexagonal axes)
Inequivalent atoms, fractional coordinates:
1 Hf 0.0000 0.0000 0.2363
2 Be 0.0000 0.0000 0.5000
3 Sb 0.0000 0.0000 0.0000

---

Record 2
The following is a DFT calculation (PBE-GGA) of HfBeSb2 after structural relaxation.

Its uncorrected formation energy is 206 meV/atom. Its raw total energy is -5.28 eV per atom. The calculated volume comes out at 461 Å³/cell. Its spin magnetization is 0.0 μB/f.u.

Unit cell a=6.228 b=6.228 c=11.888 alpha=90.00 beta=90.00 gamma=90.00
Space group I-42d (No. 122)
Inequivalent atoms, fractional coordinates:
1 Hf 0.000 0.000 0.000
2 Be 0.000 0.000 0.500
3 Sb 0.207 0.250 0.625

---

Record 3
The following is a DFT calculation (PBE-GGA) of Hf2BeSb after structural relaxation.

For the distance to the lowest polymorph of the same formula, the calculation gives 1.88 eV/f.u. Its uncorrected formation energy is 83 meV/atom. Its raw total energy is -6.86 eV per atom. The calculated volume comes out at 319 Å³/cell. Its spin magnetization is 0.0 μB/f.u.

Unit cell a=7.366 b=7.366 c=5.878 alpha=90.00 beta=90.00 gamma=90.00
Space group I-42d (No. 122)
Inequivalent atoms, fractional coordinates:
1 Hf 0.224 0.250 0.125
2 Be 0.000 0.000 0.000
3 Sb 0.000 0.000 0.500

---

Record 4
The following is a DFT calculation (PBE-GGA) of Hf2BeSb after structural relaxation.

For the distance to the lowest polymorph of the same formula, the calculation gives 1.95 eV/f.u. Its uncorrected formation energy is 99 meV/atom. Its raw total energy is -6.84 eV per atom. The calculated volume comes out at 310 Å³/cell. Its spin magnetization is 0.0 μB/f.u.

Unit cell a=6.767 b=6.767 c=6.767 alpha=90.00 beta=90.00 gamma=90.00
Space group Fm-3m (No. 225)
Inequivalent atoms, fractional coordinates:
1 Hf 0.250 0.250 0.250
2 Be 0.000 0.000 0.000
3 Sb 0.000 0.000 0.500

---

Record 5
The following is a DFT calculation (PBE-GGA) of HfBe2Sb after structural relaxation.

Its uncorrected formation energy is 387 meV/atom. Its raw total energy is -4.99 eV per atom. The calculated volume comes out at 275 Å³/cell. Its spin magnetization is 0.0 μB/f.u.

Unit cell a=7.021 b=7.021 c=5.586 alpha=90.00 beta=90.00 gamma=90.00
Space group I-42d (No. 122)
Inequivalent atoms, fractional coordinates:
1 Hf 0.000 0.000 0.000
2 Be 0.225 0.250 0.625
3 Sb 0.000 0.000 0.500

---

Record 6
The following is a DFT calculation (PBE-GGA) of HfBe3Sb after structural relaxation.

For the distance to the lowest polymorph of the same formula, the calculation gives 0.00 eV/f.u. Its uncorrected formation energy is 1260 meV/atom. Its raw total energy is -3.79 eV per atom. The calculated volume comes out at 92 Å³/cell. Its spin magnetization is 0.0 μB/f.u.

Unit cell a=4.515 b=4.515 c=4.515 alpha=90.00 beta=90.00 gamma=90.00
Space group Pm-3m (No. 221)
Inequivalent atoms, fractional coordinates:
1 Hf 0.000 0.000 0.000
2 Be 0.000 0.500 0.500
3 Sb 0.500 0.500 0.500

---

Record 7
The following is a DFT calculation (PBE-GGA) of HfBeTcSb2 after structural relaxation.

Its uncorrected formation energy is 1438 meV/atom. Its raw total energy is -5.02 eV per atom. The calculated volume comes out at 145 Å³/cell. Its spin magnetization is 1.9 μB/f.u.

Unit cell a=5.463 b=5.463 c=4.869 alpha=90.00 beta=90.00 gamma=90.00
Space group P4/mmm (No. 123)
Inequivalent atoms, fractional coordinates:
1 Hf 0.000 0.000 0.000
2 Be 0.500 0.500 0.500
3 Tc 0.000 0.000 0.500
4 Sb 0.000 0.500 0.000

---

Record 8
The following is a DFT calculation (PBE-GGA) of HfBeSbTe2 after structural relaxation.

For the distance to the lowest polymorph of the same formula, the calculation gives 0.00 eV/f.u. Its uncorrected formation energy is 466 meV/atom. Its raw total energy is -4.35 eV per atom. The calculated volume comes out at 120 Å³/cell. Its spin magnetization is 0.0 μB/f.u.

Unit cell a=5.039 b=5.039 c=4.728 alpha=90.00 beta=90.00 gamma=90.00
Space group P4/mmm (No. 123)
Inequivalent atoms, fractional coordinates:
1 Hf 0.000 0.000 0.000
2 Be 0.500 0.500 0.500
3 Sb 0.500 0.500 0.000
4 Te 0.000 0.500 0.500

---

Record 9
The following is a DFT calculation (PBE-GGA) of HfBeSbTe2 after structural relaxation.

For the distance to the lowest polymorph of the same formula, the calculation gives 0.62 eV/f.u. Its uncorrected formation energy is 589 meV/atom. Its raw total energy is -4.23 eV per atom. The calculated volume comes out at 170 Å³/cell. Its spin magnetization is 0.0 μB/f.u.

Unit cell a=5.507 b=5.507 c=5.608 alpha=90.00 beta=90.00 gamma=90.00
Space group P4/mmm (No. 123)
Inequivalent atoms, fractional coordinates:
1 Hf 0.000 0.000 0.000
2 Be 0.500 0.500 0.500
3 Sb 0.000 0.000 0.500
4 Te 0.000 0.500 0.000

---

Record 10
The following is a DFT calculation (PBE-GGA) of Hf2BeTlSb after structural relaxation.

Its uncorrected formation energy is 867 meV/atom. Its raw total energy is -5.16 eV per atom. The calculated volume comes out at 126 Å³/cell. Its spin magnetization is 0.0 μB/f.u.

Unit cell a=5.368 b=5.368 c=4.365 alpha=90.00 beta=90.00 gamma=90.00
Space group P4/mmm (No. 123)
Inequivalent atoms, fractional coordinates:
1 Hf 0.000 0.500 0.000
2 Be 0.000 0.000 0.500
3 Tl 0.500 0.500 0.500
4 Sb 0.000 0.000 0.000

---

Record 11
The following is a DFT calculation (PBE-GGA) of Y2HfBeSb after structural relaxation.

Its uncorrected formation energy is -112 meV/atom. Its raw total energy is -6.26 eV per atom. The calculated volume comes out at 124 Å³/cell. Its spin magnetization is 0.0 μB/f.u.

Unit cell a=5.084 b=5.084 c=4.786 alpha=90.00 beta=90.00 gamma=90.00
Space group P4/mmm (No. 123)
Inequivalent atoms, fractional coordinates:
1 Y 0.000 0.500 0.000
2 Hf 0.000 0.000 0.500
3 Be 0.000 0.000 0.000
4 Sb 0.500 0.500 0.500

---

Record 12
The following is a DFT calculation (PBE-GGA) of HfScBe after structural relaxation.

For the distance to the lowest polymorph of the same formula, the calculation gives 0.00 eV/f.u. Its raw total energy is -6.66 eV per atom. The calculated volume comes out at 109 Å³/cell. Its spin magnetization is 0.0 μB/f.u. The energy of formation is 0.0119 eV per atom.

Unit cell a=3.113 b=3.113 c=11.289 alpha=90.00 beta=90.00 gamma=90.00
Space group I4mm (No. 107)
Inequivalent atoms, fractional coordinates:
1 Hf 0.000 0.000 0.000
2 Sc 0.000 0.000 0.707
3 Be 0.000 0.000 0.358

---

Number 3 is which compound? Hf2BeSb